# Sr2PrNiO6 | the Alexandria database | PBE with a Hubbard U | relaxed
# - Uncorrected energy: -6.02 eV/atom
data_Sr2PrNiO6
_chemical_formula_sum 'Sr8 Pr4 Ni4 O24'
_cell_length_a 8.293
_cell_length_b 8.293
_cell_length_c 8.293
_cell_angle_alpha 90.00
_cell_angle_beta 90.00
_cell_angle_gamma 90.00
_space_group_name_H-M_alt 'F m -3 m'
_space_group_IT_number 225
_space_group_name_Hall '-F 4 2 3'
loop_
_atom_site_label
_atom_site_fract_x
_atom_site_fract_y
_atom_site_fract_z
Sr1 0.250 0.250 0.250
Pr1 0.000 0.000 0.000
Ni1 0.000 0.000 0.500
O1 0.000 0.000 0.276